P) VASP calculation (PBE) on RbZnPO2 after structural relaxation.

a b c (Å): 4.0631 4.4824 4.0631
angles (deg): 90.00 90.00 90.00
Sites, in units of the cell vectors:
O  0.0000  0.0000  0.5000
O  0.5000  0.0000  0.0000
Zn  0.0000  0.5000  0.0000
P  0.0000  0.0000  0.0000
Rb  0.5000  0.5000  0.5000

Properties
- space group = P4/mmm, No. 123

Q) VASP calculation (PBE) on RbZnPO2 after structural relaxation.

a b c (Å): 4.3175 4.3175 6.9397
angles (deg): 90.00 90.00 90.00
Site moments in Bohr magnetons follow the coordinates.
Sites, in units of the cell vectors:
P  0.0000  0.0000  0.5000  0.60
Zn  0.5000  0.5000  0.5000  -0.03
O  0.5000  0.0000  0.0000  0.43
O  0.0000  0.5000  0.0000  0.43
Rb  0.0000  0.0000  0.0000  0.04

Properties
- space group = P4/mmm, No. 123

R) VASP calculation (PBE) on RbZnPO2 after structural relaxation.

a b c (Å): 4.3647 4.3647 4.6651
angles (deg): 90.00 90.00 90.00
Site moments in Bohr magnetons follow the coordinates.
Sites, in units of the cell vectors:
O  0.5000  0.0000  0.0000  0.53
O  0.0000  0.5000  0.0000  0.53
Rb  0.5000  0.5000  0.5000  0.05
P  0.0000  0.0000  0.5000  0.68
Zn  0.0000  0.0000  0.0000  0.02

Properties
- space group = P4/mmm, No. 123

P) is preferred energetically. Next in line: 528 meV per atom higher.

P) VASP calculation (PBE) on RbZnP2O after structural relaxation.

a b c (Å): 4.7865 4.7865 4.4926
angles (deg): 90.00 90.00 90.00
Site moments in Bohr magnetons follow the coordinates.
Sites, in units of the cell vectors:
Rb  0.5000  0.5000  0.5000  0.03
P  0.0000  0.5000  0.0000  0.31
P  0.5000  0.0000  0.0000  0.31
O  0.0000  0.0000  0.5000  0.40
Zn  0.0000  0.0000  0.0000  0.01

Properties
- space group = P4/mmm, No. 123

Q) VASP calculation (PBE) on RbZnP2O after structural relaxation.

a b c (Å): 5.5689 5.5689 4.3589
angles (deg): 90.00 90.00 90.00
Site moments in Bohr magnetons follow the coordinates.
Sites, in units of the cell vectors:
P  0.5000  0.0000  0.0000  0.33
P  0.0000  0.5000  0.0000  0.33
Zn  0.5000  0.5000  0.5000  -0.06
O  0.0000  0.0000  0.5000  0.21
Rb  0.0000  0.0000  0.0000  0.00

Properties
- space group = P4/mmm, No. 123

P) is preferred energetically. Next in line: 1284 meV per atom higher.

P) VASP calculation (PBE) on ReP2O8 after structural relaxation.

a b c (Å): 4.7072 6.5716 6.5716
angles (deg): 53.63 84.91 84.91
Site moments in Bohr magnetons follow the coordinates.
Sites, in units of the cell vectors:
O  0.3234  0.2897  0.2897  0.01
O  0.3132  0.8866  0.8866  -0.01
O  0.7869  0.1030  0.7040  0.01
O  0.2131  0.2960  0.8970  0.01
O  0.6868  0.1134  0.1134  -0.01
O  0.6766  0.7103  0.7103  0.01
O  0.2131  0.8970  0.2960  0.01
O  0.7869  0.7040  0.1030  0.01
Re  0.0000  0.0000  0.0000  0.84
P  0.3595  0.1642  0.1642  0.02
P  0.6405  0.8358  0.8358  0.02

Properties
- space group = C2/m, No. 12

Q) VASP calculation (PBE) on ReP2O8 after structural relaxation.

a b c (Å): 7.5325 7.5483 8.2133
angles (deg): 70.64 62.71 60.07
Site moments in Bohr magnetons follow the coordinates.
Sites, in units of the cell vectors:
O  0.7263  0.9557  0.1566  0.00
O  0.1614  0.4557  0.6566  0.00
O  0.8386  0.5443  0.3434  0.00
O  0.7231  0.8151  0.9000  0.00
O  0.7824  0.4488  0.6834  0.02
O  0.9146  0.0512  0.8166  0.02
O  0.0540  0.6958  0.0055  0.02
O  0.4383  0.6849  0.6000  0.00
O  0.0854  0.9488  0.1834  0.02
O  0.2176  0.5512  0.3166  0.02
O  0.2446  0.1958  0.5055  0.02
O  0.7554  0.8042  0.4945  0.02
O  0.5617  0.3151  0.4000  0.00
O  0.2737  0.0443  0.8434  0.00
O  0.2769  0.1849  0.1000  0.00
O  0.9460  0.3042  0.9945  0.02
P  0.1639  0.1213  0.0407  0.01
P  0.8361  0.8787  0.9593  0.01
P  0.3259  0.3787  0.4593  0.01
P  0.6741  0.6213  0.5407  0.01
Re  0.9694  0.7500  0.2500  0.81
Re  0.0306  0.2500  0.7500  0.81

Properties
- space group = C2/c, No. 15

Q) is preferred energetically. Next in line: 19 meV per atom higher.

P) VASP calculation (PBE) on ReP2O2 after structural relaxation.

a b c (Å): 3.7337 3.7337 5.3003
angles (deg): 90.00 90.00 90.00
Site moments in Bohr magnetons follow the coordinates.
Sites, in units of the cell vectors:
P  0.5000  0.5000  0.5000  0.44
P  0.0000  0.0000  0.5000  0.01
Re  0.0000  0.0000  0.0000  0.05
O  0.5000  0.0000  0.0000  0.03
O  0.0000  0.5000  0.0000  0.03

Properties
- space group = P4/mmm, No. 123

Q) VASP calculation (PBE) on ReP2O2 after structural relaxation.

a b c (Å): 4.6432 4.6432 3.7063
angles (deg): 90.00 90.00 90.00
Sites, in units of the cell vectors:
O  0.5000  0.5000  0.5000
O  0.0000  0.0000  0.5000
P  0.5000  0.0000  0.0000
P  0.0000  0.5000  0.0000
Re  0.0000  0.0000  0.0000

Properties
- space group = P4/mmm, No. 123

P) is preferred energetically. Next in line: 695 meV per atom higher.

P) VASP calculation (PBE) on ReP2O2 after structural relaxation.

a b c (Å): 3.8170 3.8170 3.9399
angles (deg): 90.00 90.00 90.00
Sites, in units of the cell vectors:
O  0.0000  0.0000  0.5000
O  0.0000  0.0000  0.0000
P  0.5000  0.0000  0.0000
P  0.0000  0.5000  0.0000
Re  0.5000  0.5000  0.5000

Properties
- space group = P4/mmm, No. 123

Q) VASP calculation (PBE) on ReP2O2 after structural relaxation.

a b c (Å): 7.1729 7.1729 2.5269
angles (deg): 90.00 90.00 90.00
Sites, in units of the cell vectors:
Re  0.0000  0.0000  0.0000
Re  0.5000  0.5000  0.0000
O  0.6176  0.1176  0.0000
O  0.3824  0.8824  0.0000
O  0.1176  0.3824  0.0000
O  0.8824  0.6176  0.0000
P  0.7704  0.7296  0.5000
P  0.7296  0.2296  0.5000
P  0.2704  0.7704  0.5000
P  0.2296  0.2704  0.5000

Properties
- space group = P4/mbm, No. 127

Q) is preferred energetically. Next in line: 809 meV per atom higher.

P) VASP calculation (PBE) on ReP2O2 after structural relaxation.

a b c (Å): 3.3390 3.3390 6.8208
angles (deg): 90.00 90.00 90.00
Site moments in Bohr magnetons follow the coordinates.
Sites, in units of the cell vectors:
O  0.0000  0.5000  0.0000  0.01
O  0.5000  0.0000  0.0000  0.01
Re  0.5000  0.5000  0.5000  1.14
P  0.0000  0.0000  0.5000  -0.02
P  0.0000  0.0000  0.0000  0.00

Properties
- space group = P4/mmm, No. 123

Q) VASP calculation (PBE) on ReP2O2 after structural relaxation.

a b c (Å): 4.3451 4.3451 4.4726
angles (deg): 60.94 60.94 90.00
Sites, in units of the cell vectors:
P  0.2500  0.7500  0.5000
P  0.7500  0.2500  0.5000
O  0.6883  0.6883  0.6235
O  0.3117  0.3117  0.3765
Re  0.0000  0.0000  0.0000

Properties
- space group = I4/mmm, No. 139

P) is preferred energetically. Next in line: 268 meV per atom higher.

P) VASP calculation (PBE) on ReP2RuO after structural relaxation.

a b c (Å): 4.7241 4.7241 3.6507
angles (deg): 90.00 90.00 90.00
Site moments in Bohr magnetons follow the coordinates.
Sites, in units of the cell vectors:
Re  0.0000  0.0000  0.0000  0.00
Ru  0.5000  0.5000  0.5000  1.41
P  0.0000  0.5000  0.0000  -0.01
P  0.5000  0.0000  0.0000  -0.01
O  0.0000  0.0000  0.5000  0.02

Properties
- space group = P4/mmm, No. 123

Q) VASP calculation (PBE) on ReP2RuO after structural relaxation.

a b c (Å): 4.7293 4.7293 3.5705
angles (deg): 90.00 90.00 90.00
Site moments in Bohr magnetons follow the coordinates.
Sites, in units of the cell vectors:
P  0.5000  0.0000  0.0000  -0.09
P  0.0000  0.5000  0.0000  -0.09
Re  0.5000  0.5000  0.5000  2.25
Ru  0.0000  0.0000  0.0000  0.07
O  0.0000  0.0000  0.5000  0.07

Properties
- space group = P4/mmm, No. 123

P) is preferred energetically. Next in line: 347 meV per atom higher.

P) VASP calculation (PBE) on RePRuO2 after structural relaxation.

a b c (Å): 3.7062 3.7062 5.3611
angles (deg): 90.00 90.00 90.00
Site moments in Bohr magnetons follow the coordinates.
Sites, in units of the cell vectors:
Ru  0.5000  0.5000  0.5000  1.87
Re  0.0000  0.0000  0.0000  0.02
P  0.0000  0.0000  0.5000  0.02
O  0.5000  0.0000  0.0000  0.03
O  0.0000  0.5000  0.0000  0.03

Properties
- space group = P4/mmm, No. 123

Q) VASP calculation (PBE) on RePRuO2 after structural relaxation.

a b c (Å): 3.7036 3.7036 5.4457
angles (deg): 90.00 90.00 90.00
Site moments in Bohr magnetons follow the coordinates.
Sites, in units of the cell vectors:
O  0.5000  0.0000  0.0000  0.10
O  0.0000  0.5000  0.0000  0.10
Re  0.5000  0.5000  0.5000  2.97
P  0.0000  0.0000  0.5000  -0.05
Ru  0.0000  0.0000  0.0000  0.32

Properties
- space group = P4/mmm, No. 123

P) is preferred energetically. Next in line: 579 meV per atom higher.